Model P:
Co2Ge2Au | GGA-PBE | relaxed

Results
Its density of states at the Fermi level is 1.93 states/eV/f.u. The volume comes out at 13.7 A^3/atom.

Cell lengths 7.0373, 7.0373, 2.7627 Å; angles 90.00, 90.00, 90.00 degrees
Space group P4/mbm (No. 127)
One atom of each set of equivalent atoms:
Co 0.1409 0.3591 0.0000 (multiplicity 4)
Ge 0.1504 0.6504 0.5000 (multiplicity 4)
Au 0.0000 0.0000 0.5000 (multiplicity 2)

=====

Model Q:
Co2Ge2Au | GGA-PBE | relaxed

Results
Its density of states at the Fermi level is 2.77 states/eV/f.u. The volume comes out at 13.7 A^3/atom.

Cell lengths 6.9883, 6.9883, 2.7984 Å; angles 90.00, 90.00, 90.00 degrees
Space group P4/mbm (No. 127)
One atom of each set of equivalent atoms:
Co 0.1386 0.3614 0.0000 (multiplicity 4)
Ge 0.1565 0.6565 0.5000 (multiplicity 4)
Au 0.0000 0.0000 0.0000 (multiplicity 2)

=====

Quick one: least stable of them? model P